First-principles (GGA-PBE) data for a relaxed structure of MnNi2OsN, as listed in Alexandria.

a = 3.832 Å, b = 3.832 Å, c = 3.676 Å
α = 90.00°, β = 90.00°, γ = 90.00°
Sites, in units of the cell vectors:
Mn (0.000, 0.000, 0.000)
Ni (0.000, 0.500, 0.500)
Ni (0.500, 0.000, 0.500)
Os (0.500, 0.500, 0.000)
N (0.000, 0.000, 0.500)

Properties
Energy relative to the elements, uncorrected   333.8 meV per atom
V   53.97 Å³ per cell
Space-group type   No. 123